# HfNb3Rh6 (PBE, optimized geometry)
# - Energy of formation from the pure elements: -0.555 eV/atom
# - Total energy: -89.82 eV per formula unit
# - Magnetic moment: 0.00 μB/cell
data_HfNb3Rh6
_space_group_name_H-M_alt 'P 1'
_space_group_IT_number 1
_cell_length_a 8.6953
_cell_length_b 4.0168
_cell_length_c 9.0891
_cell_angle_alpha 90.00
_cell_angle_beta 92.07
_cell_angle_gamma 90.00
loop_
_space_group_symop_operation_xyz
'x,y,z'
loop_
_atom_site_label
_atom_site_fract_x
_atom_site_fract_y
_atom_site_fract_z
_atom_site_occupancy
Hf1 0.0595 0.2500 0.3774 1
Hf2 0.9405 0.7500 0.6226 1
Nb1 0.2481 0.2500 0.0179 1
Nb2 0.3456 0.7500 0.7942 1
Nb3 0.4401 0.2500 0.5923 1
Nb4 0.5599 0.7500 0.4077 1
Nb5 0.6544 0.2500 0.2058 1
Nb6 0.7519 0.7500 0.9821 1
Rh1 0.0579 0.7500 0.9048 1
Rh2 0.1452 0.2500 0.7013 1
Rh3 0.1570 0.7500 0.1916 1
Rh4 0.2432 0.7500 0.4929 1
Rh5 0.3603 0.2500 0.2977 1
Rh6 0.4582 0.7500 0.1009 1
Rh7 0.5418 0.2500 0.8991 1
Rh8 0.6397 0.7500 0.7023 1
Rh9 0.7568 0.2500 0.5071 1
Rh10 0.8430 0.2500 0.8084 1
Rh11 0.8548 0.7500 0.2987 1
Rh12 0.9421 0.2500 0.0952 1

# HfNb2Rh2 (PBE, optimized geometry)
# - Energy of formation from the pure elements: -0.320 eV/atom
# - Total energy: -46.39 eV per formula unit
# - Magnetic moment: 0.00 μB/cell
data_HfNb2Rh2
_space_group_name_H-M_alt 'P 1'
_space_group_IT_number 1
_cell_length_a 7.5300
_cell_length_b 7.5300
_cell_length_c 3.1095
_cell_angle_alpha 90.00
_cell_angle_beta 90.00
_cell_angle_gamma 90.00
loop_
_space_group_symop_operation_xyz
'x,y,z'
loop_
_atom_site_label
_atom_site_fract_x
_atom_site_fract_y
_atom_site_fract_z
_atom_site_occupancy
Hf1 0.0000 0.0000 0.0000 1
Hf2 0.5000 0.5000 0.0000 1
Nb1 0.1727 0.3273 0.5000 1
Nb2 0.3273 0.8273 0.5000 1
Nb3 0.6727 0.1727 0.5000 1
Nb4 0.8273 0.6727 0.5000 1
Rh1 0.1285 0.6285 0.0000 1
Rh2 0.3715 0.1285 0.0000 1
Rh3 0.6285 0.8715 0.0000 1
Rh4 0.8715 0.3715 0.0000 1

# HfNb2Rh6 (PBE, optimized geometry)
# - Energy of formation from the pure elements: -0.426 eV/atom
# - Total energy: -78.04 eV per formula unit
# - Magnetic moment: 0.00 μB/cell
data_HfNb2Rh6
_space_group_name_H-M_alt 'P 1'
_space_group_IT_number 1
_cell_length_a 7.5191
_cell_length_b 7.5191
_cell_length_c 2.9164
_cell_angle_alpha 90.00
_cell_angle_beta 90.00
_cell_angle_gamma 120.00
loop_
_space_group_symop_operation_xyz
'x,y,z'
loop_
_atom_site_label
_atom_site_fract_x
_atom_site_fract_y
_atom_site_fract_z
_atom_site_occupancy
Hf1 0.0000 0.0000 0.0000 1
Nb1 0.3333 0.6667 0.5000 1
Nb2 0.6667 0.3333 0.5000 1
Rh1 0.0000 0.3017 0.5000 1
Rh2 0.0000 0.6312 0.0000 1
Rh3 0.3017 0.0000 0.5000 1
Rh4 0.3688 0.3688 0.0000 1
Rh5 0.6312 0.0000 0.0000 1
Rh6 0.6983 0.6983 0.5000 1

# Hf2NbRh (PBE, optimized geometry)
# - Energy of formation from the pure elements: -0.464 eV/atom
# - Total energy: -39.19 eV per formula unit
# - Magnetic moment: 0.00 μB/cell
data_Hf2NbRh
_space_group_name_H-M_alt 'P 1'
_space_group_IT_number 1
_cell_length_a 3.2936
_cell_length_b 3.2936
_cell_length_c 6.8949
_cell_angle_alpha 90.00
_cell_angle_beta 90.00
_cell_angle_gamma 90.00
loop_
_space_group_symop_operation_xyz
'x,y,z'
loop_
_atom_site_label
_atom_site_fract_x
_atom_site_fract_y
_atom_site_fract_z
_atom_site_occupancy
Hf1 0.0000 0.0000 0.2363 1
Hf2 0.0000 0.0000 0.7637 1
Nb1 0.5000 0.5000 0.5000 1
Rh1 0.5000 0.5000 0.0000 1

# Hf5NbRh4 (PBE, optimized geometry)
# - Energy of formation from the pure elements: -0.717 eV/atom
# - Total energy: -96.41 eV per formula unit
# - Magnetic moment: 0.00 μB/cell
data_Hf5NbRh4
_space_group_name_H-M_alt 'P 1'
_space_group_IT_number 1
_cell_length_a 3.3194
_cell_length_b 3.3194
_cell_length_c 16.2747
_cell_angle_alpha 90.00
_cell_angle_beta 90.00
_cell_angle_gamma 90.00
loop_
_space_group_symop_operation_xyz
'x,y,z'
loop_
_atom_site_label
_atom_site_fract_x
_atom_site_fract_y
_atom_site_fract_z
_atom_site_occupancy
Hf1 0.0000 0.0000 0.0000 1
Hf2 0.0000 0.0000 0.1960 1
Hf3 0.0000 0.0000 0.3929 1
Hf4 0.0000 0.0000 0.6071 1
Hf5 0.0000 0.0000 0.8040 1
Nb1 0.5000 0.5000 0.5000 1
Rh1 0.5000 0.5000 0.0970 1
Rh2 0.5000 0.5000 0.2885 1
Rh3 0.5000 0.5000 0.7115 1
Rh4 0.5000 0.5000 0.9030 1

# Hf2Nb2Rh (PBE, optimized geometry)
# - Energy of formation from the pure elements: 0.042 eV/atom
# - Total energy: -47.19 eV per formula unit
# - Magnetic moment: 0.00 μB/cell
data_Hf2Nb2Rh
_space_group_name_H-M_alt 'P 1'
_space_group_IT_number 1
_cell_length_a 6.7081
_cell_length_b 6.7081
_cell_length_c 4.4413
_cell_angle_alpha 90.00
_cell_angle_beta 90.00
_cell_angle_gamma 90.00
loop_
_space_group_symop_operation_xyz
'x,y,z'
loop_
_atom_site_label
_atom_site_fract_x
_atom_site_fract_y
_atom_site_fract_z
_atom_site_occupancy
Hf1 0.1664 0.3336 0.0000 1
Hf2 0.3336 0.8336 0.0000 1
Hf3 0.6664 0.1664 0.0000 1
Hf4 0.8336 0.6664 0.0000 1
Nb1 0.1430 0.6430 0.5000 1
Nb2 0.3570 0.1430 0.5000 1
Nb3 0.6430 0.8570 0.5000 1
Nb4 0.8570 0.3570 0.5000 1
Rh1 0.0000 0.0000 0.5000 1
Rh2 0.5000 0.5000 0.5000 1

# HfNb2Rh (PBE, optimized geometry)
# - Energy of formation from the pure elements: 0.144 eV/atom
# - Total energy: -36.87 eV per formula unit
# - Magnetic moment: 0.00 μB/cell
data_HfNb2Rh
_space_group_name_H-M_alt 'P 1'
_space_group_IT_number 1
_cell_length_a 7.6415
_cell_length_b 7.6415
_cell_length_c 5.3282
_cell_angle_alpha 90.00
_cell_angle_beta 90.00
_cell_angle_gamma 90.00
loop_
_space_group_symop_operation_xyz
'x,y,z'
loop_
_atom_site_label
_atom_site_fract_x
_atom_site_fract_y
_atom_site_fract_z
_atom_site_occupancy
Hf1 0.0000 0.0000 0.0000 1
Hf2 0.0000 0.5000 0.2500 1
Hf3 0.5000 0.0000 0.7500 1
Hf4 0.5000 0.5000 0.5000 1
Nb1 0.2154 0.2500 0.6250 1
Nb2 0.2500 0.7154 0.8750 1
Nb3 0.2500 0.7846 0.3750 1
Nb4 0.2846 0.2500 0.1250 1
Nb5 0.7154 0.7500 0.1250 1
Nb6 0.7500 0.2154 0.3750 1
Nb7 0.7500 0.2846 0.8750 1
Nb8 0.7846 0.7500 0.6250 1
Rh1 0.0000 0.0000 0.5000 1
Rh2 0.0000 0.5000 0.7500 1
Rh3 0.5000 0.0000 0.2500 1
Rh4 0.5000 0.5000 0.0000 1

# HfNb2Rh5 (PBE, optimized geometry)
# - Energy of formation from the pure elements: -0.554 eV/atom
# - Total energy: -71.29 eV per formula unit
# - Magnetic moment: 0.00 μB/cell
data_HfNb2Rh5
_space_group_name_H-M_alt 'P 1'
_space_group_IT_number 1
_cell_length_a 5.5894
_cell_length_b 11.1284
_cell_length_c 4.1073
_cell_angle_alpha 90.00
_cell_angle_beta 90.00
_cell_angle_gamma 90.00
loop_
_space_group_symop_operation_xyz
'x,y,z'
loop_
_atom_site_label
_atom_site_fract_x
_atom_site_fract_y
_atom_site_fract_z
_atom_site_occupancy
Hf1 0.0000 0.0000 0.0000 1
Hf2 0.5000 0.5000 0.0000 1
Nb1 0.1807 0.3546 0.5000 1
Nb2 0.3193 0.8546 0.5000 1
Nb3 0.6807 0.1454 0.5000 1
Nb4 0.8193 0.6454 0.5000 1
Rh1 0.0000 0.5000 0.0000 1
Rh2 0.0548 0.7522 0.0000 1
Rh3 0.2100 0.1150 0.5000 1
Rh4 0.2900 0.6150 0.5000 1
Rh5 0.4452 0.2522 0.0000 1
Rh6 0.5000 0.0000 0.0000 1
Rh7 0.5548 0.7478 0.0000 1
Rh8 0.7100 0.3850 0.5000 1
Rh9 0.7900 0.8850 0.5000 1
Rh10 0.9452 0.2478 0.0000 1

Which value of total energy does entry 8 give? -71.29 eV per formula unit

What is the energy of formation from the pure elements in the fifth record? -0.717 eV/atom